This record from the Alexandria database describes a relaxed structure of Tb4Y5Tm4. The functional is PBE.

Properties
ΔH_f (0 K) = 0.02 eV/atom
crystal system = tetragonal
theoretical density = 7.14 Mg/m³
uncorrected energy = -5.263 eV per atom

a = 12.7795 Å, b = 12.7795 Å, c = 5.0000 Å
α = 90.00°, β = 90.00°, γ = 90.00°
Space group I4/m (No. 87)
One atom of each set of equivalent atoms:
Tb  0.0766  0.6159  0.0000 [8 per cell]
Y  0.0000  0.0000  0.0000 [2 per cell]
Y  0.0387  0.8072  0.5000 [8 per cell]
Tm  0.1547  0.2314  0.0000 [8 per cell]

This record from the Alexandria database describes a relaxed structure of BeNClF2. The functional is PBE.

Properties
crystal system = tetragonal
energy above the lowest structure with this stoichiometry = 152.68 kJ/mol of atoms
theoretical density = 2.14 Mg/m³
raw formation energy = 4.43 eV/f.u.
uncorrected energy = -2.642 eV per atom

a = 4.7697 Å, b = 4.7697 Å, c = 3.2949 Å
α = 90.00°, β = 90.00°, γ = 90.00°
Space group P4/mmm (No. 123)
One atom of each set of equivalent atoms:
Be  0.0000  0.0000  0.0000 [1 per cell]
N  0.5000  0.5000  0.0000 [1 per cell]
Cl  0.5000  0.5000  0.5000 [1 per cell]
F  0.0000  0.5000  0.5000 [2 per cell]

This record from the Alexandria database describes a relaxed structure of BaMgCu2. The functional is PBE.

Properties
ΔH_f (0 K) = 0.13 eV/atom
crystal system = tetragonal
theoretical density = 4.24 Mg/m³
uncorrected energy = -2.799 eV per atom

a = 5.0347 Å, b = 5.0347 Å, c = 17.8576 Å
α = 90.00°, β = 90.00°, γ = 90.00°
Space group I4_1/amd (No. 141, origin choice 2)
One atom of each set of equivalent atoms:
Ba  0.0000  0.2500  0.3750 [4 per cell]
Mg  0.0000  0.2500  0.8750 [4 per cell]
Cu  0.0000  0.0000  0.0000 [8 per cell]

This record from the Alexandria database describes a relaxed structure of TbNd2NpO8. The functional is PBE.

Properties
crystal system = monoclinic
theoretical density = 8.16 Mg/m³
raw formation energy = -37.54 eV/f.u.
uncorrected energy = -8.693 eV per atom

a = 3.9418 Å, b = 7.5827 Å, c = 5.5507 Å
α = 90.00°, β = 94.49°, γ = 90.00°
Space group P2/m (No. 10)
One atom of each set of equivalent atoms:
Tb  0.0000  0.0000  0.0000 [1 per cell]
Nd  0.5000  0.2424  0.5000 [2 per cell]
Np  0.0000  0.5000  0.0000 [1 per cell]
O  0.0331  0.2798  0.7711 [4 per cell]
O  0.4455  0.5000  0.2160 [2 per cell]
O  0.4963  0.0000  0.2465 [2 per cell]

This record from the Alexandria database describes a relaxed structure of K2SrIn. The functional is PBE.

Properties
ΔH_f (0 K) = -0.04 eV/atom
crystal system = orthorhombic
theoretical density = 2.23 Mg/m³
uncorrected energy = -1.697 eV per atom

a = 4.1122 Å, b = 5.6884 Å, c = 17.8894 Å
α = 90.00°, β = 90.00°, γ = 90.00°
Space group Immm (No. 71)
One atom of each set of equivalent atoms:
K  0.0000  0.0000  0.1715 [4 per cell]
Sr  0.0000  0.5000  0.0000 [2 per cell]
In  0.0000  0.5000  0.5000 [2 per cell]